Record 1
RbCaNi3 PBE optimized geometry; ΔH_f (0 K) = 1.25 eV/atom; volume = 26.5 Å³/atom; symmetry = No. 221; raw total energy = -14.04 eV for the cell shown; polymorph energy (0 for the lowest one) = 0.0 meV/atom
1.0
5.0969 0.0000 0.0000
0.0000 5.0969 0.0000
0.0000 0.0000 5.0969
Ni Ca Rb
3 1 1
direct
0.0000 0.0000 0.5000 Ni
0.5000 0.0000 0.0000 Ni
0.0000 0.5000 0.0000 Ni
0.0000 0.0000 0.0000 Ca
0.5000 0.5000 0.5000 Rb

=====

Record 2
ScMn2Sn2 PBE optimized geometry; ΔH_f (0 K) = 0.00 eV/atom; volume = 18.9 Å³/atom; symmetry = No. 127; raw total energy = -65.37 eV for the cell shown
1.0
-6.7165 1.2798 3.7173
-3.2767 -5.8887 -3.8928
0.8713 -1.9749 2.2541
Mn Sn Sc
4 4 2
direct
0.1162 0.3838 0.0000 Mn
0.6162 0.1162 0.0000 Mn
0.3838 0.8838 0.0000 Mn
0.8838 0.6162 0.0000 Mn
0.3229 0.1771 0.5000 Sn
0.6771 0.8229 0.5000 Sn
0.8229 0.3229 0.5000 Sn
0.1771 0.6771 0.5000 Sn
0.0000 0.0000 0.0000 Sc
0.5000 0.5000 0.0000 Sc

=====

Record 3
NdAl2Os2 PBE optimized geometry; ΔH_f (0 K) = -0.29 eV/atom; volume = 18.6 Å³/atom; symmetry = No. 139; raw total energy = -72.29 eV for the cell shown
1.0
-3.0866 1.7814 1.9117
-1.6514 -3.6228 0.7094
8.0516 0.2495 8.4897
Nd Os Al
2 4 4
direct
0.3752 0.3752 0.7505 Nd
0.6248 0.6248 0.2495 Nd
0.2500 0.7500 0.5000 Os
0.7500 0.2500 0.5000 Os
0.0678 0.0678 0.1355 Os
0.9322 0.9322 0.8645 Os
0.1816 0.1816 0.3632 Al
0.8184 0.8184 0.6368 Al
0.0000 0.5000 0.0000 Al
0.5000 0.0000 0.0000 Al

=====

Record 4
Cs2HgN2 PBE optimized geometry; volume = 38.1 Å³/atom; symmetry = No. 12; raw total energy = -19.20 eV for the cell shown; formation energy from raw total energies = -0.11 eV/atom; polymorph energy (0 for the lowest one) = 0.0 meV/atom
1.0
-3.6445 0.6705 -2.6690
2.2590 -0.0504 -3.9686
-1.5781 -8.9372 -2.2111
Cs N Hg
2 2 1
direct
0.5692 0.5692 0.7293 Cs
0.4308 0.4308 0.2707 Cs
0.9037 0.0963 0.5000 N
0.0963 0.9037 0.5000 N
0.0000 0.0000 0.0000 Hg